Here is a geometry-optimized ScV2AgO8 structure from Alexandria via LeMat-Bulk. Energies are from PBE+U.

**Volume**: 172 Å³/cell
**ρ**: 3.7 g cm⁻³
**Total energy**: -7.01 eV per atom
**Fermi-level density of states**: 0.07 states/eV/atom
**Space group**: No. 164

abc: 5.7783 5.7783 5.9364
angles: 90.00 90.00 120.00
With the nearest neighbours (Å) after each atom.
Positions (direct):
O 0.3230 0.1615 0.2292  1 V 1.79
O 0.1615 0.8385 0.7708  1 V 1.79
O 0.6770 0.8385 0.7708  1 V 1.79
O 0.3333 0.6667 0.4098  1 V 1.63
O 0.8385 0.1615 0.2292  1 V 1.79
O 0.1615 0.3230 0.7708  1 V 1.79
O 0.8385 0.6770 0.2292  1 V 1.79
O 0.6667 0.3333 0.5902  1 V 1.63
V 0.6667 0.3333 0.3151  4 O 1.63-1.79
V 0.3333 0.6667 0.6849  4 O 1.63-1.79
Sc 0.0000 0.0000 0.0000  6 O 2.11
Ag 0.0000 0.0000 0.5000  6 O 2.28

Here is a geometry-optimized ScVAgO4 structure from Alexandria via LeMat-Bulk. Energies are from PBE+U.

**Volume**: 211 Å³/cell
**ρ**: 4.2 g cm⁻³
**Total energy**: -7.19 eV per atom
**Space group**: No. 11

abc: 5.6880 5.8563 6.8576
angles: 90.00 112.37 90.00
With the nearest neighbours (Å) after each atom.
Positions (direct):
V 0.2586 0.7500 0.3193  4 O 1.82-1.84
V 0.7414 0.2500 0.6807  4 O 1.82-1.84
O 0.5178 0.7500 0.5800  1 V 1.83
O 0.9645 0.4736 0.6740  1 V 1.84
O 0.0355 0.9736 0.3260  1 V 1.84
O 0.0355 0.5264 0.3260  1 V 1.84
O 0.4888 0.7500 0.1931  1 V 1.82
O 0.9645 0.0264 0.6740  1 V 1.84
O 0.5112 0.2500 0.8069  1 V 1.82
O 0.4822 0.2500 0.4200  1 V 1.83
Sc 0.8266 0.7500 0.4700  6 O 2.09-2.23
Sc 0.1734 0.2500 0.5300  6 O 2.09-2.23
Ag 0.4880 0.7500 0.8824  2 O 2.13-2.14
Ag 0.5120 0.2500 0.1176  2 O 2.13-2.14

Here is a geometry-optimized Sc2VAg2O6 structure from Alexandria via LeMat-Bulk. Energies are from PBE+U.

**Volume**: 147 Å³/cell
**ρ**: 5.1 g cm⁻³
**Total energy**: -7.12 eV per atom
**Space group**: No. 12

abc: 5.3721 5.3721 6.4288
angles: 102.59 102.59 118.68
With the nearest neighbours (Å) after each atom.
Positions (direct):
O 0.7796 0.7796 0.6840  1 V 2.02, 2 Sc 2.13
O 0.2204 0.2204 0.3160  1 V 2.02, 2 Sc 2.13
O 0.9106 0.5967 0.3248  1 V 1.97, 2 Sc 2.11-2.13
O 0.5967 0.9106 0.3248  1 V 1.97, 2 Sc 2.11-2.13
O 0.4033 0.0894 0.6752  1 V 1.97, 2 Sc 2.11-2.13
O 0.0894 0.4033 0.6752  1 V 1.97, 2 Sc 2.11-2.13
Sc 0.3339 0.6661 0.5000  6 O 2.11-2.13
Sc 0.6661 0.3339 0.5000  6 O 2.11-2.13
Ag 0.1856 0.8144 0.0000  4 O 2.43-2.54
Ag 0.8144 0.1856 0.0000  4 O 2.43-2.54
V 0.0000 0.0000 0.5000  6 O 1.97-2.02

Here is a geometry-optimized ScAgWO5 structure from Alexandria via LeMat-Bulk. Energies are from PBE+U.

**Volume**: 262 Å³/cell
**ρ**: 5.3 g cm⁻³
**Total energy**: -7.15 eV per atom
**Fermi-level density of states**: 0.00 states/eV/atom
**Space group**: No. 15

abc: 6.1017 6.1017 7.9353
angles: 107.70 107.70 95.62
With the nearest neighbours (Å) after each atom.
Positions (direct):
Ag 0.2910 0.7090 0.2500  1 O 2.20
Ag 0.7090 0.2910 0.7500  1 O 2.20
O 0.0480 0.9520 0.2500  2 Sc 2.03, 1 Ag 2.20
O 0.9520 0.0480 0.7500  2 Sc 2.03, 1 Ag 2.20
O 0.2584 0.7831 0.5762  1 W 1.81
O 0.6746 0.7273 0.8647  1 W 1.82
O 0.7416 0.2169 0.4238  1 W 1.81
O 0.3254 0.2727 0.1353  1 W 1.82
O 0.7273 0.6746 0.3647  1 W 1.82
O 0.2169 0.7416 0.9238  1 W 1.81
O 0.2727 0.3254 0.6353  1 W 1.82
O 0.7831 0.2584 0.0762  1 W 1.81
Sc 0.0000 0.0000 0.5000  6 O 2.03-2.22
Sc 0.0000 0.0000 0.0000  6 O 2.03-2.22
W 0.3559 0.6441 0.7500  4 O 1.81-1.82
W 0.6441 0.3559 0.2500  4 O 1.81-1.82